# 1
# PBE Ce8In2Hg, optimized geometry
data_Ce8In2Hg
_space_group_name_H-M_alt 'P 1'
_space_group_IT_number 1
_cell_length_a 8.087
_cell_length_b 8.087
_cell_length_c 7.578
_cell_angle_alpha 112.32
_cell_angle_beta 112.32
_cell_angle_gamma 39.25
loop_
_space_group_symop_operation_xyz
'x,y,z'
loop_
_atom_site_label
_atom_site_type_symbol
_atom_site_fract_x
_atom_site_fract_y
_atom_site_fract_z
Ce1 Ce 0.038 0.038 0.274
Ce2 Ce 0.141 0.141 0.664
Ce3 Ce 0.318 0.318 0.618
Ce4 Ce 0.415 0.415 0.016
Ce5 Ce 0.585 0.585 0.984
Ce6 Ce 0.682 0.682 0.382
Ce7 Ce 0.859 0.859 0.336
Ce8 Ce 0.962 0.962 0.726
In1 In 0.217 0.217 0.139
In2 In 0.783 0.783 0.861
Hg1 Hg 0.500 0.500 0.500
# Distance to the lowest polymorph of the same formula (meV per atom): 0.0
# Energy of formation from the pure elements (eV/atom): -0.18
# V (Å³/atom): 26.084

# 2
# PBE Ce2InHg8, optimized geometry
data_Ce2InHg8
_space_group_name_H-M_alt 'P 1'
_space_group_IT_number 1
_cell_length_a 4.991
_cell_length_b 4.991
_cell_length_c 11.858
_cell_angle_alpha 90.00
_cell_angle_beta 90.00
_cell_angle_gamma 90.00
loop_
_space_group_symop_operation_xyz
'x,y,z'
loop_
_atom_site_label
_atom_site_type_symbol
_atom_site_fract_x
_atom_site_fract_y
_atom_site_fract_z
Ce1 Ce 0.000 0.000 0.187
Ce2 Ce 0.000 0.000 0.813
In1 In 0.000 0.000 0.500
Hg1 Hg 0.000 0.500 0.000
Hg2 Hg 0.000 0.500 0.358
Hg3 Hg 0.000 0.500 0.642
Hg4 Hg 0.500 0.000 0.000
Hg5 Hg 0.500 0.000 0.358
Hg6 Hg 0.500 0.000 0.642
Hg7 Hg 0.500 0.500 0.179
Hg8 Hg 0.500 0.500 0.821
# Energy of formation from the pure elements (eV/atom): -0.20
# V (Å³/atom): 26.857

# 3
# PBE Ce6In3Hg, optimized geometry
data_Ce6In3Hg
_space_group_name_H-M_alt 'P 1'
_space_group_IT_number 1
_cell_length_a 5.900
_cell_length_b 8.918
_cell_length_c 12.102
_cell_angle_alpha 90.00
_cell_angle_beta 118.87
_cell_angle_gamma 90.00
loop_
_space_group_symop_operation_xyz
'x,y,z'
loop_
_atom_site_label
_atom_site_type_symbol
_atom_site_fract_x
_atom_site_fract_y
_atom_site_fract_z
Ce1 Ce 0.028 0.116 0.248
Ce2 Ce 0.028 0.384 0.748
Ce3 Ce 0.068 0.644 0.050
Ce4 Ce 0.068 0.856 0.550
Ce5 Ce 0.472 0.643 0.451
Ce6 Ce 0.472 0.857 0.951
Ce7 Ce 0.528 0.143 0.049
Ce8 Ce 0.528 0.357 0.549
Ce9 Ce 0.932 0.144 0.450
Ce10 Ce 0.932 0.356 0.950
Ce11 Ce 0.972 0.616 0.252
Ce12 Ce 0.972 0.884 0.752
In1 In 0.456 0.122 0.749
In2 In 0.456 0.378 0.249
In3 In 0.500 0.000 0.500
In4 In 0.500 0.500 0.000
In5 In 0.544 0.622 0.751
In6 In 0.544 0.878 0.251
Hg1 Hg 0.000 0.000 0.000
Hg2 Hg 0.000 0.500 0.500
# Energy of formation from the pure elements (eV/atom): -0.18
# V (Å³/atom): 27.886

# 4
# PBE Ce11In9Hg4, optimized geometry
data_Ce11In9Hg4
_space_group_name_H-M_alt 'P 1'
_space_group_IT_number 1
_cell_length_a 12.496
_cell_length_b 12.496
_cell_length_c 4.544
_cell_angle_alpha 90.00
_cell_angle_beta 90.00
_cell_angle_gamma 111.17
loop_
_space_group_symop_operation_xyz
'x,y,z'
loop_
_atom_site_label
_atom_site_type_symbol
_atom_site_fract_x
_atom_site_fract_y
_atom_site_fract_z
Ce1 Ce 0.000 0.000 0.000
Ce2 Ce 0.059 0.424 0.000
Ce3 Ce 0.161 0.839 0.000
Ce4 Ce 0.282 0.282 0.000
Ce5 Ce 0.360 0.640 0.000
Ce6 Ce 0.424 0.059 0.000
Ce7 Ce 0.576 0.941 0.000
Ce8 Ce 0.640 0.360 0.000
Ce9 Ce 0.718 0.718 0.000
Ce10 Ce 0.839 0.161 0.000
Ce11 Ce 0.941 0.576 0.000
In1 In 0.054 0.213 0.500
In2 In 0.147 0.636 0.500
In3 In 0.213 0.054 0.500
In4 In 0.364 0.853 0.500
In5 In 0.500 0.500 0.500
In6 In 0.636 0.147 0.500
In7 In 0.787 0.946 0.500
In8 In 0.853 0.364 0.500
In9 In 0.946 0.787 0.500
Hg1 Hg 0.247 0.448 0.500
Hg2 Hg 0.448 0.247 0.500
Hg3 Hg 0.552 0.753 0.500
Hg4 Hg 0.753 0.552 0.500
# Energy of formation from the pure elements (eV/atom): -0.34
# V (Å³/atom): 27.567

# 5
# PBE Ce3In3Hg2, optimized geometry
data_Ce3In3Hg2
_space_group_name_H-M_alt 'P 1'
_space_group_IT_number 1
_cell_length_a 18.424
_cell_length_b 4.808
_cell_length_c 4.976
_cell_angle_alpha 90.00
_cell_angle_beta 105.62
_cell_angle_gamma 90.00
loop_
_space_group_symop_operation_xyz
'x,y,z'
loop_
_atom_site_label
_atom_site_type_symbol
_atom_site_fract_x
_atom_site_fract_y
_atom_site_fract_z
Ce1 Ce 0.000 0.000 0.000
Ce2 Ce 0.135 0.000 0.635
Ce3 Ce 0.365 0.500 0.365
Ce4 Ce 0.500 0.500 0.000
Ce5 Ce 0.635 0.500 0.635
Ce6 Ce 0.865 0.000 0.365
In1 In 0.000 0.500 0.500
In2 In 0.132 0.500 0.132
In3 In 0.368 0.000 0.868
In4 In 0.500 0.000 0.500
In5 In 0.632 0.000 0.132
In6 In 0.868 0.500 0.868
Hg1 Hg 0.247 0.000 0.247
Hg2 Hg 0.253 0.500 0.753
Hg3 Hg 0.747 0.500 0.247
Hg4 Hg 0.753 0.000 0.753
# Energy of formation from the pure elements (eV/atom): -0.34
# V (Å³/atom): 26.531

# 6
# PBE CeInHg5, optimized geometry
data_CeInHg5
_space_group_name_H-M_alt 'P 1'
_space_group_IT_number 1
_cell_length_a 5.080
_cell_length_b 5.080
_cell_length_c 7.336
_cell_angle_alpha 90.00
_cell_angle_beta 90.00
_cell_angle_gamma 90.00
loop_
_space_group_symop_operation_xyz
'x,y,z'
loop_
_atom_site_label
_atom_site_type_symbol
_atom_site_fract_x
_atom_site_fract_y
_atom_site_fract_z
Ce1 Ce 0.000 0.000 0.000
In1 In 0.000 0.000 0.500
Hg1 Hg 0.000 0.500 0.275
Hg2 Hg 0.000 0.500 0.725
Hg3 Hg 0.500 0.000 0.275
Hg4 Hg 0.500 0.000 0.725
Hg5 Hg 0.500 0.500 0.000
# Energy of formation from the pure elements (eV/atom): -0.19
# V (Å³/atom): 27.045

# 7
# PBE Ce6InHg12, optimized geometry
data_Ce6InHg12
_space_group_name_H-M_alt 'P 1'
_space_group_IT_number 1
_cell_length_a 8.599
_cell_length_b 8.599
_cell_length_c 8.599
_cell_angle_alpha 107.27
_cell_angle_beta 107.27
_cell_angle_gamma 107.27
loop_
_space_group_symop_operation_xyz
'x,y,z'
loop_
_atom_site_label
_atom_site_type_symbol
_atom_site_fract_x
_atom_site_fract_y
_atom_site_fract_z
Ce1 Ce 0.045 0.299 0.420
Ce2 Ce 0.299 0.420 0.045
Ce3 Ce 0.420 0.045 0.299
Ce4 Ce 0.580 0.955 0.701
Ce5 Ce 0.701 0.580 0.955
Ce6 Ce 0.955 0.701 0.580
In1 In 0.500 0.500 0.500
Hg1 Hg 0.034 0.908 0.311
Hg2 Hg 0.092 0.689 0.966
Hg3 Hg 0.218 0.662 0.359
Hg4 Hg 0.311 0.034 0.908
Hg5 Hg 0.338 0.641 0.782
Hg6 Hg 0.359 0.218 0.662
Hg7 Hg 0.641 0.782 0.338
Hg8 Hg 0.662 0.359 0.218
Hg9 Hg 0.689 0.966 0.092
Hg10 Hg 0.782 0.338 0.641
Hg11 Hg 0.908 0.311 0.034
Hg12 Hg 0.966 0.092 0.689
# Energy of formation from the pure elements (eV/atom): -0.22
# V (Å³/atom): 27.665

# 8
# PBE Ce4In5Hg2, optimized geometry
data_Ce4In5Hg2
_space_group_name_H-M_alt 'P 1'
_space_group_IT_number 1
_cell_length_a 8.240
_cell_length_b 3.265
_cell_length_c 10.773
_cell_angle_alpha 90.00
_cell_angle_beta 94.11
_cell_angle_gamma 90.00
loop_
_space_group_symop_operation_xyz
'x,y,z'
loop_
_atom_site_label
_atom_site_type_symbol
_atom_site_fract_x
_atom_site_fract_y
_atom_site_fract_z
Ce1 Ce 0.162 0.000 0.388
Ce2 Ce 0.283 0.000 0.947
Ce3 Ce 0.717 0.000 0.053
Ce4 Ce 0.838 0.000 0.612
In1 In 0.203 0.500 0.665
In2 In 0.435 0.500 0.209
In3 In 0.500 0.500 0.500
In4 In 0.565 0.500 0.791
In5 In 0.797 0.500 0.335
Hg1 Hg 0.055 0.500 0.136
Hg2 Hg 0.945 0.500 0.864
# Energy of formation from the pure elements (eV/atom): -0.35
# V (Å³/atom): 26.279

# 9
# PBE Ce2InHg, optimized geometry
data_Ce2InHg
_space_group_name_H-M_alt 'P 1'
_space_group_IT_number 1
_cell_length_a 6.543
_cell_length_b 9.490
_cell_length_c 3.396
_cell_angle_alpha 90.00
_cell_angle_beta 90.00
_cell_angle_gamma 90.00
loop_
_space_group_symop_operation_xyz
'x,y,z'
loop_
_atom_site_label
_atom_site_type_symbol
_atom_site_fract_x
_atom_site_fract_y
_atom_site_fract_z
Ce1 Ce 0.250 0.250 0.000
Ce2 Ce 0.250 0.750 0.000
Ce3 Ce 0.750 0.250 0.000
Ce4 Ce 0.750 0.750 0.000
In1 In 0.000 0.000 0.500
In2 In 0.500 0.500 0.500
Hg1 Hg 0.000 0.500 0.500
Hg2 Hg 0.500 0.000 0.500
# Energy of formation from the pure elements (eV/atom): -0.32
# V (Å³/atom): 26.364

# 10
# PBE Ce5InHg2, optimized geometry
data_Ce5InHg2
_space_group_name_H-M_alt 'P 1'
_space_group_IT_number 1
_cell_length_a 7.835
_cell_length_b 7.835
_cell_length_c 7.251
_cell_angle_alpha 90.00
_cell_angle_beta 90.00
_cell_angle_gamma 90.00
loop_
_space_group_symop_operation_xyz
'x,y,z'
loop_
_atom_site_label
_atom_site_type_symbol
_atom_site_fract_x
_atom_site_fract_y
_atom_site_fract_z
Ce1 Ce 0.000 0.000 0.000
Ce2 Ce 0.250 0.250 0.250
Ce3 Ce 0.250 0.250 0.750
Ce4 Ce 0.250 0.750 0.250
Ce5 Ce 0.250 0.750 0.750
Ce6 Ce 0.500 0.500 0.500
Ce7 Ce 0.750 0.250 0.250
Ce8 Ce 0.750 0.250 0.750
Ce9 Ce 0.750 0.750 0.250
Ce10 Ce 0.750 0.750 0.750
In1 In 0.000 0.000 0.500
In2 In 0.500 0.500 0.000
Hg1 Hg 0.000 0.500 0.000
Hg2 Hg 0.000 0.500 0.500
Hg3 Hg 0.500 0.000 0.000
Hg4 Hg 0.500 0.000 0.500
# Distance to the lowest polymorph of the same formula (meV per atom): 0.0
# Energy of formation from the pure elements (eV/atom): -0.19
# V (Å³/atom): 27.823

# 11
# PBE CeIn3Hg3, optimized geometry
data_CeIn3Hg3
_space_group_name_H-M_alt 'P 1'
_space_group_IT_number 1
_cell_length_a 7.864
_cell_length_b 7.864
_cell_length_c 7.864
_cell_angle_alpha 90.00
_cell_angle_beta 90.00
_cell_angle_gamma 90.00
loop_
_space_group_symop_operation_xyz
'x,y,z'
loop_
_atom_site_label
_atom_site_type_symbol
_atom_site_fract_x
_atom_site_fract_y
_atom_site_fract_z
Ce1 Ce 0.000 0.000 0.000
Ce2 Ce 0.500 0.500 0.500
In1 In 0.000 0.250 0.500
In2 In 0.000 0.750 0.500
In3 In 0.250 0.500 0.000
In4 In 0.500 0.000 0.250
In5 In 0.500 0.000 0.750
In6 In 0.750 0.500 0.000
Hg1 Hg 0.000 0.500 0.250
Hg2 Hg 0.000 0.500 0.750
Hg3 Hg 0.250 0.000 0.500
Hg4 Hg 0.500 0.250 0.000
Hg5 Hg 0.500 0.750 0.000
Hg6 Hg 0.750 0.000 0.500
# Distance to the lowest polymorph of the same formula (meV per atom): 419.3
# Energy of formation from the pure elements (eV/atom): 0.29
# V (Å³/atom): 34.732

# 12
# PBE Ce5InHg8, optimized geometry
data_Ce5InHg8
_space_group_name_H-M_alt 'P 1'
_space_group_IT_number 1
_cell_length_a 8.037
_cell_length_b 8.037
_cell_length_c 8.037
_cell_angle_alpha 109.01
_cell_angle_beta 109.01
_cell_angle_gamma 110.39
loop_
_space_group_symop_operation_xyz
'x,y,z'
loop_
_atom_site_label
_atom_site_type_symbol
_atom_site_fract_x
_atom_site_fract_y
_atom_site_fract_z
Ce1 Ce 0.000 0.000 0.000
Ce2 Ce 0.251 0.606 0.130
Ce3 Ce 0.394 0.524 0.645
Ce4 Ce 0.476 0.121 0.870
Ce5 Ce 0.879 0.749 0.355
In1 In 0.750 0.250 0.500
Hg1 Hg 0.104 0.696 0.739
Hg2 Hg 0.109 0.204 0.728
Hg3 Hg 0.304 0.043 0.408
Hg4 Hg 0.477 0.382 0.272
Hg5 Hg 0.618 0.891 0.095
Hg6 Hg 0.635 0.896 0.592
Hg7 Hg 0.796 0.523 0.905
Hg8 Hg 0.957 0.365 0.261
# Energy of formation from the pure elements (eV/atom): -0.22
# V (Å³/atom): 28.542

> Which value of energy of formation from the pure elements does entry 1 give?

-0.18 eV/atom

> Number 10 is which compound?

Ce5InHg2

> What is the energy of formation from the pure elements in the twelfth record?

-0.22 eV/atom

> Which of these has the lowest V?

Ce8In2Hg